Record 1
Density functional theory data (PBE) for a geometry-optimized CaFe2Au structure.

Unit cell a=4.9635 b=4.9635 c=4.9635 alpha=130.48 beta=130.48 gamma=72.65
Last column: nearest neighbours and their distance in Å.
Positions (direct):
Au: 0.5000 0.5000 0.0000  4 Ca 2.88, 8 Fe 2.88-2.94
Fe: 0.2500 0.7500 0.5000  4 Fe 2.88, 4 Au 2.88, 4 Ca 2.94
Ca: 0.7500 0.2500 0.5000  4 Au 2.88, 8 Fe 2.88-2.94
Fe: 0.0000 0.0000 0.0000  4 Fe 2.88, 4 Ca 2.88, 4 Au 2.94

Computed properties:
energy of formation from the pure elements	0.2645	eV per atom
calculated volume	69.1	Å³/cell
SG	I-4m2 (119)
E	-5.2865	eV per atom

Record 2
Density functional theory data (PBE) for a geometry-optimized CaFe2Au structure.

Unit cell a=3.1866 b=3.2460 c=7.6288 alpha=64.82 beta=90.00 gamma=90.00
Last column: nearest neighbours and their distance in Å.
Positions (direct):
Ca: 0.5000 0.7424 0.7577  4 Au 3.06, 5 Fe 3.13, 4 Ca 3.19-3.25
Au: 0.0000 0.5385 0.4617  5 Fe 2.71-2.86
Fe: 0.5000 0.2886 0.2112  4 Fe 2.48
Fe: 0.0000 0.9305 0.0694  4 Fe 2.48, 1 Au 2.71

Computed properties:
energy of formation from the pure elements	0.0760	eV per atom
calculated volume	71.4	Å³/cell
SG	Pmm2 (25)
E	-5.4751	eV per atom

Record 3
Density functional theory data (PBE) for a geometry-optimized CaFe2Au structure.

Unit cell a=5.4032 b=5.4032 c=4.8080 alpha=65.34 beta=65.34 gamma=33.58
Last column: nearest neighbours and their distance in Å.
Positions (direct):
Au: 0.4738 0.4738 0.5333  6 Fe 2.77-2.99, 2 Ca 3.07
Fe: 0.7286 0.7286 0.7677  2 Fe 2.35
Fe: 0.0408 0.0408 0.9570  2 Fe 2.35
Ca: 0.2569 0.2569 0.2420  8 Fe 2.87-3.18, 4 Au 3.07-3.16, 2 Ca 3.12

Computed properties:
energy of formation from the pure elements	0.2195	eV per atom
calculated volume	69.9	Å³/cell
SG	Cm (8)
E	-5.3316	eV per atom

Record 4
Density functional theory data (PBE) for a geometry-optimized CaFeAu2 structure.

Unit cell a=3.5707 b=3.5707 c=6.3088 alpha=90.00 beta=90.00 gamma=90.00
Last column: nearest neighbours and their distance in Å.
Positions (direct):
Ca: 0.0000 0.0000 0.4884  6 Au 2.98-3.31, 4 Fe 3.24
Au: 0.5000 0.5000 0.2362  1 Fe 2.68, 4 Ca 2.98
Au: 0.0000 0.0000 0.9641  4 Fe 2.70, 1 Ca 3.00
Fe: 0.5000 0.5000 0.8113  5 Au 2.68-2.70

Computed properties:
energy of formation from the pure elements	-0.0648	eV per atom
calculated volume	80.4	Å³/cell
SG	P4mm (99)
E	-4.3196	eV per atom

Record 5
Density functional theory data (PBE) for a geometry-optimized CaFe2Au structure.

Unit cell a=2.9756 b=2.9756 c=8.0600 alpha=90.00 beta=90.00 gamma=90.00
Last column: nearest neighbours and their distance in Å.
Positions (direct):
Au: 0.5000 0.5000 0.2500  8 Fe 2.74, 4 Au 2.98
Fe: 0.0000 0.0000 0.4682  4 Au 2.74, 4 Fe 2.98
Ca: 0.5000 0.5000 0.7500  4 Ca 2.98, 8 Fe 3.10
Fe: 0.0000 0.0000 0.0318  4 Au 2.74, 4 Fe 2.98

Computed properties:
energy of formation from the pure elements	0.4740	eV per atom
calculated volume	71.4	Å³/cell
SG	P4/mmm (123)
E	-5.0771	eV per atom

Record 6
Density functional theory data (PBE) for a geometry-optimized CaFe2Au structure.

Unit cell a=4.7894 b=4.7894 c=5.0709 alpha=72.13 beta=72.13 gamma=46.76
Last column: nearest neighbours and their distance in Å.
Positions (direct):
Fe: 0.4713 0.4713 0.6393  2 Fe 2.35
Au: 0.7500 0.7500 0.7500  6 Fe 2.64-2.69
Fe: 0.0287 0.0287 0.8607  2 Fe 2.35
Ca: 0.2500 0.2500 0.2500  8 Fe 3.06-3.21, 4 Au 3.17

Computed properties:
energy of formation from the pure elements	0.1729	eV per atom
calculated volume	79.9	Å³/cell
SG	C2/m (12)
E	-5.3782	eV per atom

Record 7
Density functional theory data (PBE) for a geometry-optimized Ca2FeAu structure.

Unit cell a=5.0979 b=5.1145 c=5.0980 alpha=59.91 beta=89.65 gamma=59.85
Last column: nearest neighbours and their distance in Å.
Positions (direct):
Fe: 0.2499 0.5000 0.7500  8 Ca 3.11-3.14
Ca: 0.5028 0.9999 0.5028  4 Fe 3.11-3.14, 4 Au 3.11-3.14
Ca: 0.9971 0.0001 0.9972  4 Fe 3.11-3.14, 4 Au 3.11-3.14
Au: 0.7499 0.5000 0.2500  8 Ca 3.11-3.14

Computed properties:
energy of formation from the pure elements	0.0031	eV per atom
calculated volume	93.9	Å³/cell
SG	C2/m (12)
E	-3.9327	eV per atom

Record 8
Density functional theory data (PBE) for a geometry-optimized CaFeAu2 structure.

Unit cell a=4.9183 b=4.9183 c=9.1057 alpha=74.33 beta=74.33 gamma=90.00
Last column: nearest neighbours and their distance in Å.
Positions (direct):
Ca: 0.2500 0.7500 0.5000  4 Au 3.01
Fe: 0.7500 0.2500 0.5000  4 Au 2.53
Au: 0.8750 0.9844 0.7500  2 Fe 2.53, 2 Au 2.82
Au: 0.3750 0.2656 0.7500  2 Fe 2.53, 2 Au 2.82
Ca: 0.5000 0.5000 0.0000  4 Au 3.01
Fe: 0.0000 0.0000 0.0000  4 Au 2.53
Au: 0.7344 0.1250 0.2500  2 Fe 2.53, 2 Au 2.82
Au: 0.0156 0.6250 0.2500  2 Fe 2.53, 2 Au 2.82

Computed properties:
energy of formation from the pure elements	0.1149	eV per atom
calculated volume	203.6	Å³/cell
SG	I-42d (122)
E	-4.1398	eV per atom

Record 9
Density functional theory data (PBE) for a geometry-optimized CaFeAu structure.

Unit cell a=4.6667 b=4.6667 c=4.6667 alpha=60.00 beta=60.00 gamma=60.00
Last column: nearest neighbours and their distance in Å.
Positions (direct):
Fe: 0.5000 0.5000 0.5000  4 Au 2.86
Ca: 0.0000 0.0000 0.0000  4 Au 2.86
Au: 0.7500 0.7500 0.7500  4 Fe 2.86, 4 Ca 2.86

Computed properties:
energy of formation from the pure elements	0.1744	eV per atom
calculated volume	71.9	Å³/cell
SG	F-43m (216)
E	-4.4062	eV per atom

Record 10
Density functional theory data (PBE) for a geometry-optimized Ca2FeAu structure.

Unit cell a=3.5131 b=3.5131 c=8.2597 alpha=90.00 beta=90.00 gamma=90.00
Last column: nearest neighbours and their distance in Å.
Positions (direct):
Ca: 0.0000 0.0000 0.9270  1 Fe 3.06, 4 Au 3.13
Au: 0.5000 0.5000 0.6960  4 Fe 2.74
Ca: 0.5000 0.5000 0.3204  1 Au 3.10, 4 Fe 3.16
Fe: 0.0000 0.0000 0.5565  4 Au 2.74, 1 Ca 3.06

Computed properties:
energy of formation from the pure elements	0.0290	eV per atom
calculated volume	101.9	Å³/cell
SG	P4mm (99)
E	-3.9068	eV per atom

Record 11
Density functional theory data (PBE) for a geometry-optimized CaFe2Au structure.

Unit cell a=5.2325 b=5.2325 c=5.2325 alpha=135.73 beta=135.42 gamma=64.64
Last column: nearest neighbours and their distance in Å.
Positions (direct):
Au: 0.7500 0.2500 0.5000  4 Ca 2.80, 8 Fe 2.96-2.97
Fe: 0.5005 0.5005 0.0000  4 Fe 2.80, 4 Au 2.96-2.97, 4 Ca 2.97
Ca: 0.2500 0.7500 0.5000  4 Au 2.80, 8 Fe 2.97
Fe: 0.9995 0.9995 0.0000  4 Fe 2.80, 4 Au 2.96-2.97, 4 Ca 2.97

Computed properties:
energy of formation from the pure elements	0.2624	eV per atom
calculated volume	69.2	Å³/cell
SG	Immm (71)
E	-5.2887	eV per atom

Record 12
Density functional theory data (PBE) for a geometry-optimized CaFe2Au structure.

Unit cell a=5.1572 b=5.1572 c=2.8358 alpha=90.00 beta=90.00 gamma=115.05
Last column: nearest neighbours and their distance in Å.
Positions (direct):
Fe: 0.5000 0.5000 0.0000  4 Fe 2.77-2.84, 4 Au 2.94, 4 Ca 2.94
Fe: 0.0000 0.0000 0.0000  4 Fe 2.77-2.84, 4 Ca 2.94, 4 Au 2.94
Au: 0.5000 0.0000 0.5000  2 Ca 2.77, 2 Au 2.84, 8 Fe 2.94
Ca: 0.0000 0.5000 0.5000  2 Au 2.77, 2 Ca 2.84, 8 Fe 2.94

Computed properties:
energy of formation from the pure elements	0.4452	eV per atom
calculated volume	68.3	Å³/cell
SG	Cmmm (65)
E	-5.1059	eV per atom

Record 13
Density functional theory data (PBE) for a geometry-optimized CaFe3Au structure.

Unit cell a=4.8413 b=4.8413 c=4.8413 alpha=90.00 beta=90.00 gamma=90.00
Last column: nearest neighbours and their distance in Å.
Positions (direct):
Fe: 0.5000 0.0000 0.0000  2 Au 2.42
Ca: 0.5000 0.5000 0.5000  12 Fe 3.42
Au: 0.0000 0.0000 0.0000  6 Fe 2.42
Fe: 0.0000 0.0000 0.5000  2 Au 2.42
Fe: 0.0000 0.5000 0.0000  2 Au 2.42

Computed properties:
energy of formation from the pure elements	0.8903	eV per atom
calculated volume	113.5	Å³/cell
SG	Pm-3m (221)
E	-5.2431	eV per atom
polymorph energy (0 for the lowest one)	0.0	meV/atom

Record 14
Density functional theory data (PBE) for a geometry-optimized CaFe2Au structure.

Unit cell a=9.4597 b=9.4597 c=9.4597 alpha=18.00 beta=18.00 gamma=18.00
Last column: nearest neighbours and their distance in Å.
Positions (direct):
Fe: 0.5061 0.5061 0.5061  3 Au 2.75, 6 Fe 2.96, 3 Ca 3.02
Ca: 0.7500 0.7500 0.7500  6 Ca 2.96, 6 Fe 3.02
Fe: 0.9939 0.9939 0.9939  3 Au 2.75, 6 Fe 2.96, 3 Ca 3.02
Au: 0.2500 0.2500 0.2500  6 Fe 2.75, 6 Au 2.96

Computed properties:
energy of formation from the pure elements	0.6383	eV per atom
calculated volume	70.6	Å³/cell
SG	R-3m (166)
E	-4.9127	eV per atom

Record 15
Density functional theory data (PBE) for a geometry-optimized CaFe2Au structure.

Unit cell a=4.7846 b=3.0724 c=5.1608 alpha=82.81 beta=90.00 gamma=90.00
Last column: nearest neighbours and their distance in Å.
Positions (direct):
Ca: 0.5000 0.7500 0.7500  4 Au 2.83-3.16, 2 Ca 3.07, 4 Fe 3.11
Au: 0.5000 0.2500 0.2500  4 Fe 2.67, 2 Ca 2.83
Fe: 0.0000 0.0538 0.0666  2 Fe 2.37-2.49
Fe: 0.0000 0.4462 0.4334  2 Fe 2.37-2.49

Computed properties:
energy of formation from the pure elements	0.3084	eV per atom
calculated volume	75.3	Å³/cell
SG	P2/m (10)
E	-5.2427	eV per atom

Record 16
Density functional theory data (PBE) for a geometry-optimized CaFe2Au structure.

Unit cell a=5.4971 b=5.4971 c=2.8701 alpha=77.91 beta=77.91 gamma=119.66
Last column: nearest neighbours and their distance in Å.
Positions (direct):
Au: 0.5000 0.0000 0.5000  4 Ca 2.76-3.04, 4 Fe 2.82, 2 Au 2.87
Fe: 0.5000 0.5000 0.0000  6 Fe 2.76-3.04, 2 Ca 2.82, 2 Au 2.82
Fe: 0.0000 0.0000 0.0000  6 Fe 2.76-3.04, 2 Au 2.82, 2 Ca 2.82
Ca: 0.0000 0.5000 0.5000  4 Au 2.76-3.04, 4 Fe 2.82, 2 Ca 2.87

Computed properties:
energy of formation from the pure elements	0.3899	eV per atom
calculated volume	68.5	Å³/cell
SG	C2/m (12)
E	-5.1611	eV per atom

Record 17
Density functional theory data (PBE) for a geometry-optimized CaFeAu structure.

Unit cell a=5.8619 b=5.8619 c=5.8619 alpha=146.17 beta=146.15 gamma=48.61
Last column: nearest neighbours and their distance in Å.
Positions (direct):
Fe: 0.6362 0.6362 0.0000  4 Au 2.67
Ca: 0.3341 0.3341 0.0000  5 Au 3.19-3.25, 5 Fe 3.21-3.23, 4 Ca 3.41
Au: 0.0297 0.0297 0.0000  4 Fe 2.67

Computed properties:
energy of formation from the pure elements	0.0467	eV per atom
calculated volume	62.2	Å³/cell
SG	I4mm (107)
E	-4.5339	eV per atom

Record 18
Density functional theory data (PBE) for a geometry-optimized CaGa2FeAu structure.

Unit cell a=5.2829 b=5.0858 c=5.2829 alpha=90.00 beta=90.00 gamma=90.00
Last column: nearest neighbours and their distance in Å.
Positions (direct):
Ca: 0.0000 0.0000 0.0000  2 Au 2.54, 4 Ga 2.64
Ga: 0.0000 0.0000 0.5000  2 Ca 2.64
Ga: 0.5000 0.0000 0.0000  2 Ca 2.64
Au: 0.0000 0.5000 0.0000  2 Ca 2.54
Fe: 0.5000 0.5000 0.5000  8 Ga 3.67, 4 Au 3.74

Computed properties:
energy of formation from the pure elements	1.2303	eV per atom
calculated volume	141.9	Å³/cell
SG	P4/mmm (123)
E	-2.7288	eV per atom

Record 19
Density functional theory data (PBE) for a geometry-optimized CaFe2HAu structure.

Unit cell a=5.0347 b=3.6387 c=5.0347 alpha=90.00 beta=90.00 gamma=90.00
Last column: nearest neighbours and their distance in Å.
Positions (direct):
Fe: 0.5000 0.0000 0.0000  2 Au 2.52
Fe: 0.0000 0.0000 0.5000  2 Au 2.52
Au: 0.0000 0.0000 0.0000  2 H 1.82
H: 0.0000 0.5000 0.0000  2 Au 1.82
Ca: 0.5000 0.5000 0.5000  8 Fe 3.11

Computed properties:
calculated volume	92.2	Å³/cell
SG	P4/mmm (123)
E	-4.4222	eV per atom

Record 20
Density functional theory data (PBE) for a geometry-optimized CaFe2SbAu structure.

Unit cell a=4.6162 b=5.5643 c=4.6162 alpha=90.00 beta=90.00 gamma=90.00
Last column: nearest neighbours and their distance in Å.
Positions (direct):
Fe: 0.5000 0.0000 0.0000  2 Ca 2.31
Ca: 0.0000 0.0000 0.0000  4 Fe 2.31
Sb: 0.0000 0.5000 0.0000  2 Ca 2.78
Fe: 0.0000 0.0000 0.5000  2 Ca 2.31
Au: 0.5000 0.5000 0.5000  4 Sb 3.26, 8 Fe 3.61

Computed properties:
calculated volume	118.6	Å³/cell
SG	P4/mmm (123)
E	-3.6506	eV per atom
formation energy (no corrections)	155.8	kJ per mole of atoms